Record 1
This record from the Alexandria database describes Ir3SeO after structural relaxation. The functional is GGA-PBE.

Computed properties:
The size of the total moment comes out at 2.869 μB per formula unit. The energy above the lowest structure with this stoichiometry is 0.812 eV per atom. As for the formation energy without anion corrections: 1.9228 eV/atom. The calculated density is 11.5 g/cm³. The calculation puts the volume at 19.378 A^3/atom. The value obtained for the density of states at the Fermi level is 5.01 states/eV/f.u. As for the space group: No. 221.

Geometry as POSCAR:
```
Ir3SeO
1.0
4.593 0.000 0.000
0.000 4.593 0.000
0.000 0.000 4.593
Ir Se O
3 1 1
direct
0.000 0.000 0.500
0.000 0.500 0.000
0.500 0.000 0.000
0.000 0.000 0.000
0.500 0.500 0.500
```

Record 2
This record from the Alexandria database describes IrSeO3 after structural relaxation. The functional is GGA-PBE.

Computed properties:
The size of the total moment comes out at 0.000 μB per formula unit. As for the formation energy without anion corrections: 0.1191 eV/atom. The calculated density is 8.9 g/cm³. The calculation puts the volume at 11.876 A^3/atom. The value obtained for the density of states at the Fermi level is 2.26 states/eV/f.u. As for the space group: No. 221.

Geometry as POSCAR:
```
IrSeO3
1.0
3.901 0.000 0.000
0.000 3.901 0.000
0.000 0.000 3.901
Ir Se O
1 1 3
direct
0.000 0.000 0.000
0.500 0.500 0.500
0.000 0.000 0.500
0.000 0.500 0.000
0.500 0.000 0.000
```

Record 3
This record from the Alexandria database describes IrSe2O after structural relaxation. The functional is GGA-PBE.

Computed properties:
The size of the total moment comes out at 0.000 μB per formula unit. As for the formation energy without anion corrections: 0.1928 eV/atom. The calculated density is 7.7 g/cm³. The calculation puts the volume at 19.655 A^3/atom. The value obtained for the density of states at the Fermi level is 2.28 states/eV/f.u. As for the space group: No. 122.

Geometry as POSCAR:
```
IrSe2O
1.0
5.338 0.000 0.000
0.000 5.338 0.000
0.000 0.000 11.035
Ir Se O
4 8 4
direct
0.000 0.000 0.000
0.000 0.500 0.250
0.500 0.000 0.750
0.500 0.500 0.500
0.238 0.250 0.625
0.250 0.738 0.875
0.250 0.762 0.375
0.262 0.250 0.125
0.738 0.750 0.125
0.750 0.238 0.375
0.750 0.262 0.875
0.762 0.750 0.625
0.000 0.000 0.500
0.000 0.500 0.750
0.500 0.000 0.250
0.500 0.500 0.000
```